1.
# In2GaAu PBE relaxed
data_In2GaAu
_chemical_formula_sum 'In2 Ga1 Au1'
_cell_length_a 3.3844
_cell_length_b 3.3844
_cell_length_c 9.9206
_cell_angle_alpha 80.18
_cell_angle_beta 80.18
_cell_angle_gamma 60.00
_symmetry_space_group_name_H-M 'P 1'
_symmetry_Int_Tables_number 1
loop_
_symmetry_equiv_pos_as_xyz
'x,y,z'
loop_
_atom_site_label
_atom_site_type_symbol
_atom_site_fract_x
_atom_site_fract_y
_atom_site_fract_z
Au1 Au 0.5000 0.5000 0.5000
In1 In 0.9058 0.9058 0.2827
In2 In 0.0942 0.0942 0.7173
Ga1 Ga 0.0000 0.0000 0.0000
# * size of the total moment: 0.00 μB/f.u.
# * E_form: 0.030 eV/atom
# * calculated density: 8.54 g/cm³

2.
# InGa2Au2 PBE relaxed
data_InGa2Au2
_chemical_formula_sum 'In2 Ga4 Au4'
_cell_length_a 4.3334
_cell_length_b 4.3334
_cell_length_c 13.0268
_cell_angle_alpha 90.00
_cell_angle_beta 90.00
_cell_angle_gamma 120.00
_symmetry_space_group_name_H-M 'P 1'
_symmetry_Int_Tables_number 1
loop_
_symmetry_equiv_pos_as_xyz
'x,y,z'
loop_
_atom_site_label
_atom_site_type_symbol
_atom_site_fract_x
_atom_site_fract_y
_atom_site_fract_z
Ga1 Ga 0.3333 0.6667 0.9338
Ga2 Ga 0.6667 0.3333 0.0662
Ga3 Ga 0.6667 0.3333 0.4338
Ga4 Ga 0.3333 0.6667 0.5662
Au1 Au 0.6667 0.3333 0.8628
Au2 Au 0.3333 0.6667 0.3628
Au3 Au 0.6667 0.3333 0.6372
Au4 Au 0.3333 0.6667 0.1372
In1 In 0.0000 0.0000 0.7500
In2 In 0.0000 0.0000 0.2500
# * excess energy over the best structure of this formula in the dataset: 0.000 eV per formula unit
# * size of the total moment: 0.00 μB/f.u.
# * E_form: -0.249 eV/atom
# * calculated density: 10.16 g/cm³

3.
# In2GaAu PBE relaxed
data_In2GaAu
_chemical_formula_sum 'In2 Ga1 Au1'
_cell_length_a 4.1968
_cell_length_b 4.6060
_cell_length_c 4.6060
_cell_angle_alpha 90.00
_cell_angle_beta 90.00
_cell_angle_gamma 90.00
_symmetry_space_group_name_H-M 'P 1'
_symmetry_Int_Tables_number 1
loop_
_symmetry_equiv_pos_as_xyz
'x,y,z'
loop_
_atom_site_label
_atom_site_type_symbol
_atom_site_fract_x
_atom_site_fract_y
_atom_site_fract_z
In1 In 0.0000 0.0000 0.5000
In2 In 0.0000 0.5000 0.0000
Ga1 Ga 0.5000 0.0000 0.0000
Au1 Au 0.5000 0.5000 0.5000
# * size of the total moment: 0.00 μB/f.u.
# * E_form: -0.030 eV/atom
# * calculated density: 9.26 g/cm³

4.
# In2GaAu2 PBE relaxed
data_In2GaAu2
_chemical_formula_sum 'In4 Ga2 Au4'
_cell_length_a 4.7685
_cell_length_b 4.5805
_cell_length_c 11.1634
_cell_angle_alpha 100.40
_cell_angle_beta 90.00
_cell_angle_gamma 90.00
_symmetry_space_group_name_H-M 'P 1'
_symmetry_Int_Tables_number 1
loop_
_symmetry_equiv_pos_as_xyz
'x,y,z'
loop_
_atom_site_label
_atom_site_type_symbol
_atom_site_fract_x
_atom_site_fract_y
_atom_site_fract_z
Au1 Au 0.7500 0.8187 0.1541
Au2 Au 0.7500 0.5495 0.5713
Au3 Au 0.2500 0.4505 0.4287
Au4 Au 0.2500 0.1813 0.8459
Ga1 Ga 0.2500 0.8920 0.2975
Ga2 Ga 0.7500 0.1080 0.7025
In1 In 0.7500 0.3838 0.3025
In2 In 0.2500 0.6162 0.6975
In3 In 0.7500 0.2488 0.9947
In4 In 0.2500 0.7512 0.0053
# * excess energy over the best structure of this formula in the dataset: 0.000 eV per formula unit
# * size of the total moment: 0.00 μB/f.u.
# * E_form: -0.176 eV/atom
# * calculated density: 9.60 g/cm³

5.
# In12Ga3Au5 PBE relaxed
data_In12Ga3Au5
_chemical_formula_sum 'In48 Ga12 Au20'
_cell_length_a 14.2464
_cell_length_b 14.2464
_cell_length_c 14.2464
_cell_angle_alpha 109.47
_cell_angle_beta 109.47
_cell_angle_gamma 109.47
_symmetry_space_group_name_H-M 'P 1'
_symmetry_Int_Tables_number 1
loop_
_symmetry_equiv_pos_as_xyz
'x,y,z'
loop_
_atom_site_label
_atom_site_type_symbol
_atom_site_fract_x
_atom_site_fract_y
_atom_site_fract_z
Au1 Au 0.8750 0.6250 0.7500
Au2 Au 0.2500 0.8750 0.1250
Au3 Au 0.3750 0.2500 0.1250
Au4 Au 0.6250 0.7500 0.8750
Au5 Au 0.1250 0.7500 0.3750
Au6 Au 0.5000 0.0000 0.0000
Au7 Au 0.5000 0.5000 0.5000
Au8 Au 0.0000 0.5000 0.5000
Au9 Au 0.5000 0.5000 0.0000
Au10 Au 0.1250 0.3750 0.2500
Au11 Au 0.8750 0.2500 0.6250
Au12 Au 0.7500 0.6250 0.3750
Au13 Au 0.0000 0.5000 0.0000
Au14 Au 0.5000 0.0000 0.5000
Au15 Au 0.7500 0.1250 0.8750
Au16 Au 0.6250 0.8750 0.2500
Au17 Au 0.0000 0.0000 0.0000
Au18 Au 0.0000 0.0000 0.5000
Au19 Au 0.2500 0.3750 0.6250
Au20 Au 0.3750 0.1250 0.7500
In1 In 0.8735 0.2714 0.4429
In2 In 0.6265 0.5694 0.8979
In3 In 0.0571 0.4306 0.8285
In4 In 0.7286 0.6021 0.1715
In5 In 0.8979 0.8285 0.7714
In6 In 0.3735 0.9429 0.7714
In7 In 0.6021 0.7286 0.6715
In8 In 0.2286 0.6715 0.1021
In9 In 0.4429 0.6715 0.0694
In10 In 0.3979 0.1265 0.5694
In11 In 0.3979 0.2714 0.3285
In12 In 0.8285 0.8979 0.2714
In13 In 0.3285 0.7714 0.3979
In14 In 0.5571 0.2286 0.1265
In15 In 0.9429 0.5694 0.1715
In16 In 0.2714 0.3979 0.8285
In17 In 0.0694 0.1715 0.4429
In18 In 0.2714 0.8735 0.9429
In19 In 0.9429 0.3735 0.2714
In20 In 0.1715 0.1021 0.7286
In21 In 0.1021 0.9306 0.3735
In22 In 0.1715 0.0694 0.9429
In23 In 0.7714 0.4429 0.3735
In24 In 0.7286 0.1265 0.0571
In25 In 0.6715 0.2286 0.6021
In26 In 0.0694 0.8979 0.1265
In27 In 0.9306 0.1021 0.8735
In28 In 0.3285 0.5571 0.4306
In29 In 0.1265 0.7286 0.5571
In30 In 0.5694 0.6265 0.3979
In31 In 0.4306 0.0571 0.3285
In32 In 0.6265 0.0571 0.2286
In33 In 0.8285 0.9306 0.0571
In34 In 0.4429 0.7714 0.8735
In35 In 0.2286 0.5571 0.6265
In36 In 0.6715 0.4429 0.5694
In37 In 0.4306 0.3735 0.6021
In38 In 0.7714 0.3285 0.8979
In39 In 0.3735 0.4306 0.1021
In40 In 0.0571 0.6265 0.7286
In41 In 0.1021 0.1715 0.2286
In42 In 0.5571 0.3285 0.9306
In43 In 0.1265 0.3979 0.0694
In44 In 0.5694 0.9429 0.6715
In45 In 0.6021 0.8735 0.4306
In46 In 0.8735 0.6021 0.9306
In47 In 0.8979 0.0694 0.6265
In48 In 0.9306 0.8285 0.5571
Ga1 Ga 0.8750 0.7500 0.1250
Ga2 Ga 0.2500 0.6250 0.8750
Ga3 Ga 0.7500 0.3750 0.1250
Ga4 Ga 0.8750 0.1250 0.2500
Ga5 Ga 0.7500 0.8750 0.6250
Ga6 Ga 0.2500 0.1250 0.3750
Ga7 Ga 0.3750 0.7500 0.6250
Ga8 Ga 0.6250 0.3750 0.7500
Ga9 Ga 0.1250 0.8750 0.7500
Ga10 Ga 0.6250 0.2500 0.3750
Ga11 Ga 0.3750 0.6250 0.2500
Ga12 Ga 0.1250 0.2500 0.8750
# * size of the total moment: 0.00 μB/f.u.
# * E_form: 0.019 eV/atom
# * calculated density: 7.67 g/cm³

6.
# In2GaAu3 PBE relaxed
data_In2GaAu3
_chemical_formula_sum 'In4 Ga2 Au6'
_cell_length_a 5.7567
_cell_length_b 7.1161
_cell_length_c 7.1161
_cell_angle_alpha 116.44
_cell_angle_beta 90.00
_cell_angle_gamma 90.00
_symmetry_space_group_name_H-M 'P 1'
_symmetry_Int_Tables_number 1
loop_
_symmetry_equiv_pos_as_xyz
'x,y,z'
loop_
_atom_site_label
_atom_site_type_symbol
_atom_site_fract_x
_atom_site_fract_y
_atom_site_fract_z
Au1 Au 0.9697 0.1441 0.8564
Au2 Au 0.9697 0.8564 0.1441
Au3 Au 0.4697 0.1436 0.8559
Au4 Au 0.4698 0.5004 0.5004
Au5 Au 0.4697 0.8559 0.1436
Au6 Au 0.9698 0.4996 0.4996
In1 In 0.2192 0.4937 0.8475
In2 In 0.7192 0.1525 0.5063
In3 In 0.2192 0.8475 0.4937
In4 In 0.7192 0.5063 0.1525
Ga1 Ga 0.2203 0.1977 0.1977
Ga2 Ga 0.7203 0.8023 0.8023
# * excess energy over the best structure of this formula in the dataset: 0.000 eV per formula unit
# * size of the total moment: 0.00 μB/f.u.
# * E_form: -0.208 eV/atom
# * calculated density: 11.33 g/cm³

7.
# In3GaAu PBE relaxed
data_In3GaAu
_chemical_formula_sum 'In3 Ga1 Au1'
_cell_length_a 5.3087
_cell_length_b 5.3087
_cell_length_c 5.3087
_cell_angle_alpha 90.00
_cell_angle_beta 90.00
_cell_angle_gamma 90.00
_symmetry_space_group_name_H-M 'P 1'
_symmetry_Int_Tables_number 1
loop_
_symmetry_equiv_pos_as_xyz
'x,y,z'
loop_
_atom_site_label
_atom_site_type_symbol
_atom_site_fract_x
_atom_site_fract_y
_atom_site_fract_z
In1 In 0.0000 0.0000 0.5000
In2 In 0.5000 0.0000 0.0000
In3 In 0.0000 0.5000 0.0000
Au1 Au 0.5000 0.5000 0.5000
Ga1 Ga 0.0000 0.0000 0.0000
# * excess energy over the best structure of this formula in the dataset: 0.696 eV per formula unit
# * size of the total moment: 0.00 μB/f.u.
# * E_form: 0.340 eV/atom
# * calculated density: 6.78 g/cm³

8.
# InGa2Au PBE relaxed
data_InGa2Au
_chemical_formula_sum 'In2 Ga4 Au2'
_cell_length_a 4.3655
_cell_length_b 4.3655
_cell_length_c 9.4895
_cell_angle_alpha 76.70
_cell_angle_beta 76.70
_cell_angle_gamma 90.00
_symmetry_space_group_name_H-M 'P 1'
_symmetry_Int_Tables_number 1
loop_
_symmetry_equiv_pos_as_xyz
'x,y,z'
loop_
_atom_site_label
_atom_site_type_symbol
_atom_site_fract_x
_atom_site_fract_y
_atom_site_fract_z
Ga1 Ga 0.6622 0.1250 0.2500
Ga2 Ga 0.0878 0.6250 0.2500
Ga3 Ga 0.3750 0.3378 0.7500
Ga4 Ga 0.8750 0.9122 0.7500
In1 In 0.5000 0.5000 0.0000
In2 In 0.2500 0.7500 0.5000
Au1 Au 0.0000 0.0000 0.0000
Au2 Au 0.7500 0.2500 0.5000
# * size of the total moment: 0.00 μB/f.u.
# * E_form: -0.041 eV/atom
# * calculated density: 8.76 g/cm³

size of the total moment of number 8 (InGa2Au)? 0.00 μB/f.u.